# 1
# K3BaTl | Alexandria via LeMat-Bulk | PBE | relaxed
# Fermi-level density of states = 9.13 states/eV per cell
# Formation energy from the elements = 655 meV/atom
# Total energy = -0.86 eV/atom
# Calculated volume = 92.167 A^3/atom
# Magnetic moment = 0.48 μB/cell
# Energy above the most stable polymorph in this dataset = 499.8 meV/atom
data_K3BaTl
_chemical_formula_sum 'K3 Ba1 Tl1'
_cell_length_a 7.724
_cell_length_b 7.724
_cell_length_c 7.724
_cell_angle_alpha 90.00
_cell_angle_beta 90.00
_cell_angle_gamma 90.00
_symmetry_space_group_name_H-M 'P m -3 m'
_symmetry_Int_Tables_number 221
_symmetry_space_group_name_Hall '-P 4 2 3'
loop_
_atom_site_label
_atom_site_fract_x
_atom_site_fract_y
_atom_site_fract_z
K1 0.000 0.000 0.500
Ba1 0.000 0.000 0.000
Tl1 0.500 0.500 0.500



# 2
# K2BaTl | Alexandria via LeMat-Bulk | PBE | relaxed
# Fermi-level density of states = 9.58 states/eV per cell
# Formation energy from the elements = 0 meV/atom
# Total energy = -1.62 eV/atom
# Calculated volume = 49.427 A^3/atom
# Magnetic moment = 0.00 μB/cell
# Energy above the most stable polymorph in this dataset = 114.4 meV/atom
data_K2BaTl
_chemical_formula_sum 'K4 Ba2 Tl2'
_cell_length_a 5.438
_cell_length_b 5.438
_cell_length_c 13.370
_cell_angle_alpha 90.00
_cell_angle_beta 90.00
_cell_angle_gamma 90.00
_symmetry_space_group_name_H-M 'I 4/m m m'
_symmetry_Int_Tables_number 139
_symmetry_space_group_name_Hall '-I 4 2'
loop_
_atom_site_label
_atom_site_fract_x
_atom_site_fract_y
_atom_site_fract_z
K1 0.000 0.500 0.250
Ba1 0.000 0.000 0.000
Tl1 0.000 0.000 0.500



> Among the records above, which one has the lowest formation energy from the elements?

K2BaTl



> What is the calculated volume in the first record?

92.167 A^3/atom



> The lowest total energy belongs to which entry?

K2BaTl



> Among the records above, which one has the highest magnetic moment?

K3BaTl